Record 1
Material: SmS
Method: DFT, meta-GGA SCAN
State: PBEsol geometry

Cell lengths 5.5888, 5.5888, 5.5888 Å; angles 90.00, 90.00, 90.00 degrees
Closest atoms and distances in Å follow each position.
Fractional coordinates of all 8 atoms:
1 Sm 0.0000 0.0000 0.0000  6 S 2.79
2 Sm 0.0000 0.5000 0.5000  6 S 2.79
3 Sm 0.5000 0.0000 0.5000  6 S 2.79
4 Sm 0.5000 0.5000 0.0000  6 S 2.79
5 S 0.0000 0.0000 0.5000  6 Sm 2.79
6 S 0.0000 0.5000 0.0000  6 Sm 2.79
7 S 0.5000 0.0000 0.0000  6 Sm 2.79
8 S 0.5000 0.5000 0.5000  6 Sm 2.79

Summary:
The size of the total moment comes out at 0.00 μB per formula unit. The value obtained for the formation energy (no corrections) is -2.2804 eV per atom. As for the space-group type: Fm-3m, No. 225. As for the final energy: -234.52 eV per cell.


Record 2
Material: CaAlI2O
Method: DFT, meta-GGA SCAN
State: PBEsol geometry

Cell lengths 6.0676, 6.0676, 4.1857 Å; angles 90.00, 90.00, 90.00 degrees
Closest atoms and distances in Å follow each position.
Fractional coordinates of all 5 atoms:
1 Ca 0.0000 0.0000 0.0000  2 O 2.09
2 Al 0.5000 0.5000 0.5000  8 I 3.69
3 I 0.0000 0.5000 0.0000  2 Ca 3.03
4 I 0.5000 0.0000 0.0000  2 Ca 3.03
5 O 0.0000 0.0000 0.5000  2 Ca 2.09

Summary:
The size of the total moment comes out at 0.97 μB per formula unit. The value obtained for the formation energy (no corrections) is -0.6978 eV per atom. As for the space-group type: P4/mmm, No. 123. As for the final energy: -100.62 eV per cell.


Record 3
Material: CsSi2C
Method: DFT, meta-GGA SCAN
State: PBEsol geometry

Cell lengths 6.4290, 6.4290, 8.7049 Å; angles 90.00, 90.00, 90.00 degrees
Closest atoms and distances in Å follow each position.
Fractional coordinates of all 16 atoms:
1 Cs 0.0000 0.0000 0.0000  8 Si 3.35-3.67
2 Cs 0.0000 0.5000 0.2500  8 Si 3.35-3.67
3 Cs 0.5000 0.0000 0.7500  8 Si 3.35-3.67
4 Cs 0.5000 0.5000 0.5000  8 Si 3.35-3.67
5 Si 0.0762 0.2500 0.6250  2 C 2.00
6 Si 0.2500 0.5762 0.8750  2 C 2.00
7 Si 0.2500 0.9238 0.3750  2 C 2.00
8 Si 0.4238 0.2500 0.1250  2 C 2.00
9 Si 0.5762 0.7500 0.1250  2 C 2.00
10 Si 0.7500 0.0762 0.3750  2 C 2.00
11 Si 0.7500 0.4238 0.8750  2 C 2.00
12 Si 0.9238 0.7500 0.6250  2 C 2.00
13 C 0.0000 0.0000 0.5000  4 Si 2.00
14 C 0.0000 0.5000 0.7500  4 Si 2.00
15 C 0.5000 0.0000 0.2500  4 Si 2.00
16 C 0.5000 0.5000 0.0000  4 Si 2.00

Summary:
The size of the total moment comes out at 0.00 μB per formula unit. The value obtained for the formation energy (no corrections) is 1.0839 eV per atom. As for the space-group type: I-42d, No. 122. As for the final energy: -254.43 eV per cell.


Record 4
Material: SrTaTe
Method: DFT, meta-GGA SCAN
State: PBEsol geometry

Cell lengths 3.6193, 3.6193, 7.0883 Å; angles 90.00, 90.00, 120.00 degrees
Closest atoms and distances in Å follow each position.
Fractional coordinates of all 3 atoms:
1 Sr 0.0000 0.0000 0.0000  3 Ta 3.36, 3 Te 3.37, 6 Sr 3.62
2 Ta 0.3333 0.6667 0.6284  3 Te 2.76
3 Te 0.6667 0.3333 0.3738  3 Ta 2.76

Summary:
The size of the total moment comes out at 0.87 μB per formula unit. The value obtained for the formation energy (no corrections) is 0.1562 eV per atom. As for the space-group type: P3m1, No. 156. As for the final energy: -125.64 eV per cell.


Record 5
Material: MgSc5
Method: DFT, meta-GGA SCAN
State: PBEsol geometry

Cell lengths 5.6169, 5.6169, 5.1559 Å; angles 90.00, 90.00, 120.00 degrees
Closest atoms and distances in Å follow each position.
Fractional coordinates of all 6 atoms:
1 Mg 0.0000 0.0000 0.0000  12 Sc 3.17-3.24
2 Sc 0.0000 0.3294 0.5000  2 Mg 3.17, 10 Sc 3.19-3.26
3 Sc 0.3294 0.0000 0.5000  2 Mg 3.17, 10 Sc 3.19-3.26
4 Sc 0.3333 0.6667 0.0000  9 Sc 3.19-3.24, 3 Mg 3.24
5 Sc 0.6667 0.3333 0.0000  9 Sc 3.19-3.24, 3 Mg 3.24
6 Sc 0.6706 0.6706 0.5000  2 Mg 3.17, 10 Sc 3.19-3.26

Summary:
The value obtained for the formation energy from the elements is 2 meV per atom. The size of the total moment comes out at 4.11 μB per formula unit. As for the space-group type: P-62m, No. 189. As for the final energy: -76.15 eV per cell.


Record 6
Material: KScTe2
Method: DFT, meta-GGA SCAN
State: PBEsol geometry

Cell lengths 8.0255, 8.0255, 9.6134 Å; angles 90.00, 90.00, 90.00 degrees
Closest atoms and distances in Å follow each position.
Fractional coordinates of all 16 atoms:
1 K 0.0000 0.0000 0.0000  4 Te 3.45
2 K 0.0000 0.5000 0.2500  4 Te 3.45
3 K 0.5000 0.0000 0.7500  4 Te 3.45
4 K 0.5000 0.5000 0.5000  4 Te 3.45
5 Sc 0.0000 0.0000 0.5000  4 Te 2.76
6 Sc 0.0000 0.5000 0.7500  4 Te 2.76
7 Sc 0.5000 0.0000 0.2500  4 Te 2.76
8 Sc 0.5000 0.5000 0.0000  4 Te 2.76
9 Te 0.1835 0.2500 0.6250  2 Sc 2.76
10 Te 0.2500 0.6835 0.8750  2 Sc 2.76
11 Te 0.2500 0.8165 0.3750  2 Sc 2.76
12 Te 0.3165 0.2500 0.1250  2 Sc 2.76
13 Te 0.6835 0.7500 0.1250  2 Sc 2.76
14 Te 0.7500 0.1835 0.3750  2 Sc 2.76
15 Te 0.7500 0.3165 0.8750  2 Sc 2.76
16 Te 0.8165 0.7500 0.6250  2 Sc 2.76

Summary:
The size of the total moment comes out at 0.00 μB per formula unit. The value obtained for the formation energy (no corrections) is -1.2262 eV per atom. As for the space-group type: I-42d, No. 122. As for the final energy: -407.89 eV per cell.


Record 7
Material: CdPb2W
Method: DFT, meta-GGA SCAN
State: PBEsol geometry

Cell lengths 3.1595, 5.0555, 5.5456 Å; angles 90.00, 90.00, 90.00 degrees
Closest atoms and distances in Å follow each position.
Fractional coordinates of all 4 atoms:
1 Cd 0.0000 0.0000 0.0000  4 Pb 2.98, 2 Cd 3.16, 4 W 3.19
2 Pb 0.0000 0.5000 0.5000  4 W 2.98, 6 Pb 3.16-3.19
3 Pb 0.5000 0.5000 0.0000  4 Cd 2.98, 6 Pb 3.16-3.19
4 W 0.5000 0.0000 0.5000  4 Pb 2.98, 2 W 3.16, 4 Cd 3.19

Summary:
The value obtained for the formation energy from the elements is 1022 meV per atom. The size of the total moment comes out at 0.00 μB per formula unit. As for the space-group type: Pmmm, No. 47. As for the final energy: -247.58 eV per cell.


Record 8
Material: Zr2TaRu
Method: DFT, meta-GGA SCAN
State: PBEsol geometry

Cell lengths 3.2422, 4.6765, 9.5648 Å; angles 90.00, 90.00, 90.00 degrees
Closest atoms and distances in Å follow each position.
Fractional coordinates of all 8 atoms:
1 Zr 0.0000 0.0000 0.0000  2 Ru 2.82, 4 Ta 2.86, 2 Zr 3.02
2 Zr 0.0000 0.5000 0.2334  4 Ru 2.85, 2 Ta 3.02, 2 Zr 3.02
3 Zr 0.5000 0.0000 0.7334  4 Ru 2.85, 2 Ta 3.02, 2 Zr 3.02
4 Zr 0.5000 0.5000 0.5000  2 Ru 2.82, 4 Ta 2.86, 2 Zr 3.02
5 Ta 0.0000 0.0000 0.4675  2 Ru 2.70, 6 Zr 2.86-3.02
6 Ta 0.5000 0.5000 0.9675  2 Ru 2.70, 6 Zr 2.86-3.02
7 Ru 0.0000 0.5000 0.7415  2 Ta 2.70, 6 Zr 2.82-2.85
8 Ru 0.5000 0.0000 0.2415  2 Ta 2.70, 6 Zr 2.82-2.85

Summary:
The value obtained for the formation energy from the elements is -306 meV per atom. The size of the total moment comes out at 0.00 μB per formula unit. As for the space-group type: Imm2, No. 44. As for the final energy: -328.06 eV per cell.


Record 9
Material: TlAg2Se2
Method: DFT, meta-GGA SCAN
State: PBEsol geometry

Cell lengths 4.0292, 4.0292, 14.0378 Å; angles 90.00, 90.00, 90.00 degrees
Closest atoms and distances in Å follow each position.
Fractional coordinates of all 10 atoms:
1 Tl 0.0000 0.0000 0.0000  8 Se 3.34
2 Tl 0.5000 0.5000 0.5000  8 Se 3.34
3 Ag 0.0000 0.5000 0.2500  4 Se 2.68, 4 Ag 2.85
4 Ag 0.0000 0.5000 0.7500  4 Se 2.68, 4 Ag 2.85
5 Ag 0.5000 0.0000 0.2500  4 Se 2.68, 4 Ag 2.85
6 Ag 0.5000 0.0000 0.7500  4 Se 2.68, 4 Ag 2.85
7 Se 0.0000 0.0000 0.3760  4 Ag 2.68
8 Se 0.0000 0.0000 0.6240  4 Ag 2.68
9 Se 0.5000 0.5000 0.1240  4 Ag 2.68
10 Se 0.5000 0.5000 0.8760  4 Ag 2.68

Summary:
The size of the total moment comes out at 0.00 μB per formula unit. The value obtained for the formation energy (no corrections) is -0.1458 eV per atom. As for the space-group type: I4/mmm, No. 139. As for the final energy: -351.96 eV per cell.


Record 10
Material: TlCr3S
Method: DFT, meta-GGA SCAN
State: PBEsol geometry

Cell lengths 5.0172, 5.0172, 5.0172 Å; angles 90.00, 90.00, 90.00 degrees
Closest atoms and distances in Å follow each position.
Fractional coordinates of all 5 atoms:
1 Tl 0.0000 0.0000 0.0000  6 Cr 2.51
2 Cr 0.0000 0.0000 0.5000  2 Tl 2.51
3 Cr 0.0000 0.5000 0.0000  2 Tl 2.51
4 Cr 0.5000 0.0000 0.0000  2 Tl 2.51
5 S 0.5000 0.5000 0.5000  12 Cr 3.55

Summary:
The size of the total moment comes out at 12.68 μB per formula unit. The value obtained for the formation energy (no corrections) is 1.2130 eV per atom. As for the space-group type: Pm-3m, No. 221. As for the final energy: -131.08 eV per cell.


Record 11
Material: CoPt2Br
Method: DFT, meta-GGA SCAN
State: PBEsol geometry

Cell lengths 6.2653, 6.2653, 6.2653 Å; angles 90.00, 90.00, 90.00 degrees
Closest atoms and distances in Å follow each position.
Fractional coordinates of all 16 atoms:
1 Co 0.0000 0.0000 0.0000  4 Pt 2.71, 4 Br 2.71
2 Co 0.0000 0.5000 0.5000  4 Pt 2.71, 4 Br 2.71
3 Co 0.5000 0.0000 0.5000  4 Pt 2.71, 4 Br 2.71
4 Co 0.5000 0.5000 0.0000  4 Pt 2.71, 4 Br 2.71
5 Pt 0.0000 0.0000 0.5000  4 Br 2.71, 4 Pt 2.71
6 Pt 0.0000 0.5000 0.0000  4 Br 2.71, 4 Pt 2.71
7 Pt 0.2500 0.2500 0.2500  4 Pt 2.71, 4 Co 2.71
8 Pt 0.2500 0.7500 0.7500  4 Co 2.71, 4 Pt 2.71
9 Pt 0.5000 0.0000 0.0000  4 Br 2.71, 4 Pt 2.71
10 Pt 0.5000 0.5000 0.5000  4 Br 2.71, 4 Pt 2.71
11 Pt 0.7500 0.2500 0.7500  4 Co 2.71, 4 Pt 2.71
12 Pt 0.7500 0.7500 0.2500  4 Co 2.71, 4 Pt 2.71
13 Br 0.2500 0.2500 0.7500  4 Co 2.71, 4 Pt 2.71
14 Br 0.2500 0.7500 0.2500  4 Co 2.71, 4 Pt 2.71
15 Br 0.7500 0.2500 0.2500  4 Co 2.71, 4 Pt 2.71
16 Br 0.7500 0.7500 0.7500  4 Co 2.71, 4 Pt 2.71

Summary:
The size of the total moment comes out at 2.01 μB per formula unit. The value obtained for the formation energy (no corrections) is 0.7210 eV per atom. As for the space-group type: F-43m, No. 216. As for the final energy: -697.06 eV per cell.


Record 12
Material: CuAg5As3O11
Method: DFT, meta-GGA SCAN
State: PBEsol geometry

Cell lengths 5.8921, 8.8955, 10.2783 Å; angles 97.20, 91.95, 92.88 degrees
Closest atoms and distances in Å follow each position.
Fractional coordinates of all 40 atoms:
1 Cu 0.0000 0.0000 0.0000  4 O 1.96
2 Cu 0.5000 0.0000 0.5000  4 O 1.93-1.96
3 Ag 0.0743 0.0316 0.6697  3 O 2.20-2.46
4 Ag 0.1906 0.3298 0.8037  3 O 2.26-2.43
5 Ag 0.2388 0.6454 0.3628  5 O 2.27-2.53
6 Ag 0.2604 0.6687 0.6535  4 O 2.28-2.41
7 Ag 0.3102 0.3203 0.1589  4 O 2.29-2.41
8 Ag 0.6898 0.6797 0.8411  4 O 2.29-2.41
9 Ag 0.7396 0.3313 0.3465  4 O 2.28-2.41
10 Ag 0.7612 0.3546 0.6372  5 O 2.27-2.53
11 Ag 0.8094 0.6702 0.1963  3 O 2.26-2.43
12 Ag 0.9257 0.9684 0.3303  3 O 2.20-2.46
13 As 0.2232 0.6743 0.0174  4 O 1.69-1.81
14 As 0.2360 0.2944 0.4828  4 O 1.72-1.75
15 As 0.4450 0.9654 0.1937  4 O 1.70-1.79
16 As 0.5550 0.0346 0.8063  4 O 1.70-1.79
17 As 0.7640 0.7056 0.5172  4 O 1.72-1.75
18 As 0.7768 0.3257 0.9826  4 O 1.69-1.81
19 O 0.0110 0.1724 0.5126  1 As 1.73
20 O 0.0110 0.2144 0.9740  1 As 1.74
21 O 0.1360 0.3969 0.3642  1 As 1.72
22 O 0.1825 0.5528 0.1298  1 As 1.69
23 O 0.2148 0.0615 0.1488  1 As 1.72
24 O 0.2978 0.9424 0.8149  1 As 1.70
25 O 0.3079 0.5948 0.8703  1 As 1.69
26 O 0.3429 0.4050 0.6223  1 As 1.72
27 O 0.3959 0.8849 0.3358  1 As 1.73, 1 Cu 1.93
28 O 0.4543 0.1845 0.4190  1 As 1.75, 1 Cu 1.96
29 O 0.4644 0.8024 0.0737  2 As 1.79-1.81
30 O 0.5356 0.1976 0.9263  2 As 1.79-1.81
31 O 0.5457 0.8155 0.5810  1 As 1.75, 1 Cu 1.96
32 O 0.6041 0.1151 0.6642  1 As 1.73, 1 Cu 1.93
33 O 0.6571 0.5950 0.3777  1 As 1.72
34 O 0.6921 0.4052 0.1297  1 As 1.69
35 O 0.7022 0.0576 0.1851  1 As 1.70
36 O 0.7852 0.9385 0.8512  1 As 1.72
37 O 0.8175 0.4472 0.8702  1 As 1.69
38 O 0.8640 0.6031 0.6358  1 As 1.72
39 O 0.9890 0.7856 0.0260  1 As 1.74
40 O 0.9890 0.8276 0.4874  1 As 1.73

Summary:
The size of the total moment comes out at 0.97 μB per formula unit. The value obtained for the formation energy (no corrections) is -0.8723 eV per atom. As for the space-group type: P-1, No. 2. As for the final energy: -637.19 eV per cell.